(1)
DFT (GGA-PBE) results for a geometry-optimized LiPm3Ge structure. Values from VASP.

The structure in Quantum ESPRESSO input format:
```
&SYSTEM
  ibrav = 0, nat = 20, ntyp = 3
/
ATOMIC_SPECIES
Li 6.94 Li.upf
Pm 145.00 Pm.upf
Ge 72.64 Ge.upf
CELL_PARAMETERS angstrom
11.4555 0.0000 0.0000
0.0000 5.7267 0.0000
-2.2530 0.0000 8.3452
ATOMIC_POSITIONS crystal
Li 0.1146 0.0056 0.0255
Li 0.1146 0.4944 0.5255
Li 0.8854 0.5056 0.4745
Li 0.8854 0.9944 0.9745
Pm 0.0915 0.5202 0.8609
Pm 0.0915 0.9798 0.3609
Pm 0.2530 0.0529 0.7482
Pm 0.2530 0.4471 0.2482
Pm 0.4225 0.6048 0.6557
Pm 0.4225 0.8952 0.1557
Pm 0.5775 0.1048 0.8443
Pm 0.5775 0.3952 0.3443
Pm 0.7470 0.5529 0.7518
Pm 0.7470 0.9471 0.2518
Pm 0.9085 0.0202 0.6391
Pm 0.9085 0.4798 0.1391
Ge 0.3911 0.1100 0.4942
Ge 0.3911 0.3900 0.9942
Ge 0.6089 0.6100 0.0058
Ge 0.6089 0.8900 0.5058
```

Results
- magnetization (μB per cell) = 0.0
- formation energy (eV per formula unit) = -1.21
- DOS(E_F) (states/eV per cell) = 19.205

---

(2)
DFT (GGA-PBE) results for a geometry-optimized Li3PmGe2 structure. Values from VASP.

The structure in Quantum ESPRESSO input format:
```
&SYSTEM
  ibrav = 0, nat = 12, ntyp = 3
/
ATOMIC_SPECIES
Li 6.94 Li.upf
Pm 145.00 Pm.upf
Ge 72.64 Ge.upf
CELL_PARAMETERS angstrom
7.4824 -2.1430 0.0000
7.4824 2.1430 0.0000
-3.5170 0.0000 7.1800
ATOMIC_POSITIONS crystal
Li 0.0408 0.0408 0.3706
Li 0.3098 0.3098 0.5326
Li 0.4019 0.4019 0.3109
Li 0.5981 0.5981 0.6891
Li 0.6902 0.6902 0.4674
Li 0.9592 0.9592 0.6294
Pm 0.1493 0.1493 0.0595
Pm 0.8507 0.8507 0.9405
Ge 0.1937 0.1937 0.7124
Ge 0.4756 0.4756 0.8344
Ge 0.5244 0.5244 0.1656
Ge 0.8063 0.8063 0.2876
```

Results
- magnetization (μB per cell) = 0.0
- formation energy (eV per formula unit) = -3.04
- DOS(E_F) (states/eV per cell) = 4.102

---

(3)
DFT (GGA-PBE) results for a geometry-optimized Li4PmGe4 structure. Values from VASP.

The structure in Quantum ESPRESSO input format:
```
&SYSTEM
  ibrav = 0, nat = 18, ntyp = 3
/
ATOMIC_SPECIES
Li 6.94 Li.upf
Pm 145.00 Pm.upf
Ge 72.64 Ge.upf
CELL_PARAMETERS angstrom
6.1380 0.0000 0.0000
0.0000 6.1380 0.0000
0.0000 0.0000 8.7028
ATOMIC_POSITIONS crystal
Li 0.0079 0.2500 0.1580
Li 0.2500 0.0079 0.6580
Li 0.2500 0.4921 0.6580
Li 0.4921 0.2500 0.1580
Li 0.5079 0.7500 0.8420
Li 0.7500 0.5079 0.3420
Li 0.7500 0.9921 0.3420
Li 0.9921 0.7500 0.8420
Pm 0.2500 0.7500 0.2500
Pm 0.7500 0.2500 0.7500
Ge 0.0472 0.2500 0.4575
Ge 0.2500 0.0472 0.9575
Ge 0.2500 0.4528 0.9575
Ge 0.4528 0.2500 0.4575
Ge 0.5472 0.7500 0.5425
Ge 0.7500 0.5472 0.0425
Ge 0.7500 0.9528 0.0425
Ge 0.9528 0.7500 0.5425
```

Results
- magnetization (μB per cell) = 0.0
- formation energy (eV per formula unit) = -3.31
- DOS(E_F) (states/eV per cell) = 4.333

---

(4)
DFT (GGA-PBE) results for a geometry-optimized Li2Pm2Ge3 structure. Values from VASP.

The structure in Quantum ESPRESSO input format:
```
&SYSTEM
  ibrav = 0, nat = 14, ntyp = 3
/
ATOMIC_SPECIES
Li 6.94 Li.upf
Pm 145.00 Pm.upf
Ge 72.64 Ge.upf
CELL_PARAMETERS angstrom
2.2067 -9.3379 0.0000
2.2067 9.3379 0.0000
0.0000 0.0000 6.9274
ATOMIC_POSITIONS crystal
Li 0.1910 0.8090 0.5622
Li 0.1910 0.8090 0.9378
Li 0.8090 0.1910 0.0622
Li 0.8090 0.1910 0.4378
Pm 0.3427 0.6573 0.7500
Pm 0.4479 0.5521 0.2500
Pm 0.5521 0.4479 0.7500
Pm 0.6573 0.3427 0.2500
Ge 0.0626 0.9374 0.0656
Ge 0.0626 0.9374 0.4344
Ge 0.2793 0.7207 0.2500
Ge 0.7207 0.2793 0.7500
Ge 0.9374 0.0626 0.5656
Ge 0.9374 0.0626 0.9344
```

Results
- magnetization (μB per cell) = 0.0
- formation energy (eV per formula unit) = -4.95
- DOS(E_F) (states/eV per cell) = 2.707

---

(5)
DFT (GGA-PBE) results for a geometry-optimized LiPmGe structure. Values from VASP.

The structure in Quantum ESPRESSO input format:
```
&SYSTEM
  ibrav = 0, nat = 6, ntyp = 3
/
ATOMIC_SPECIES
Li 6.94 Li.upf
Pm 145.00 Pm.upf
Ge 72.64 Ge.upf
CELL_PARAMETERS angstrom
4.3180 0.0000 0.0000
0.0000 4.3180 0.0000
0.0000 0.0000 6.9808
ATOMIC_POSITIONS crystal
Li 0.2500 0.7500 0.0000
Li 0.7500 0.2500 0.0000
Pm 0.2500 0.2500 0.3239
Pm 0.7500 0.7500 0.6761
Ge 0.2500 0.2500 0.7633
Ge 0.7500 0.7500 0.2367
```

Results
- magnetization (μB per cell) = 0.0
- energy above the lowest structure with this stoichiometry (meV/atom) = 16.8
- formation energy (eV per formula unit) = -1.99
- DOS(E_F) (states/eV per cell) = 1.953

---

(6)
DFT (GGA-PBE) results for a geometry-optimized LiPmGe structure. Values from VASP.

The structure in Quantum ESPRESSO input format:
```
&SYSTEM
  ibrav = 0, nat = 18, ntyp = 3
/
ATOMIC_SPECIES
Li 6.94 Li.upf
Pm 145.00 Pm.upf
Ge 72.64 Ge.upf
CELL_PARAMETERS angstrom
7.2784 0.0000 0.0000
0.0000 4.3765 0.0000
-0.0745 0.0000 12.4024
ATOMIC_POSITIONS crystal
Li 0.0018 0.2500 0.4108
Li 0.1502 0.7500 0.9588
Li 0.3454 0.2500 0.2977
Li 0.6546 0.7500 0.7023
Li 0.8498 0.2500 0.0412
Li 0.9982 0.7500 0.5892
Pm 0.0161 0.7500 0.1973
Pm 0.3374 0.2500 0.5796
Pm 0.4848 0.2500 0.8707
Pm 0.5152 0.7500 0.1293
Pm 0.6626 0.7500 0.4204
Pm 0.9839 0.2500 0.8027
Ge 0.2332 0.2500 0.0713
Ge 0.2419 0.7500 0.4058
Ge 0.2685 0.7500 0.7484
Ge 0.7315 0.2500 0.2516
Ge 0.7581 0.2500 0.5942
Ge 0.7668 0.7500 0.9287
```

Results
- magnetization (μB per cell) = 0.0
- energy above the lowest structure with this stoichiometry (meV/atom) = 0.0
- formation energy (eV per formula unit) = -2.04
- DOS(E_F) (states/eV per cell) = 2.359